# 1
A geometry-optimized PmTlIn structure, computed with PBE-GGA.

Calculated values
SG: F-43m, No. 216
Energy above the lowest structure with this stoichiometry (meV/atom): 127
M_tot (Bohr magnetons per cell): 0.01

The structure in extended XYZ format:
```
3
Lattice="0.0000 3.6441 3.6441 3.6441 0.0000 3.6441 3.6441 3.6441 0.0000" Properties=species:S:1:pos:R:3 pbc="T T T"
Pm 0.0000 0.0000 0.0000
Tl 1.8221 1.8221 1.8221
In 5.4662 5.4662 5.4662
```

---

# 2
A geometry-optimized Lu2ZrPb structure, computed with PBE-GGA.

Calculated values
SG: F-43m, No. 216
Final energy (eV per atom): -5.3113
M_tot (Bohr magnetons per cell): 0.01

The structure in extended XYZ format:
```
4
Lattice="0.0000 3.6825 3.6825 3.6825 0.0000 3.6825 3.6825 3.6825 0.0000" Properties=species:S:1:pos:R:3 pbc="T T T"
Lu 0.0000 0.0000 0.0000
Lu 1.8413 1.8413 1.8413
Zr 5.5238 5.5238 5.5238
Pb 3.6825 3.6825 3.6825
```

---

# 3
A geometry-optimized SnPtSO structure, computed with PBE-GGA.

Calculated values
SG: P4/nmm, No. 129
Energy above the lowest structure with this stoichiometry (meV/atom): 345
M_tot (Bohr magnetons per cell): 0.01

The structure in extended XYZ format:
```
8
Lattice="3.6669 0.0000 0.0000 0.0000 3.6669 0.0000 0.0000 0.0000 9.7190" Properties=species:S:1:pos:R:3 pbc="T T T"
Sn 0.9167 0.9167 1.2084
Sn 2.7502 2.7502 8.5106
Pt 0.9167 0.9167 6.2537
Pt 2.7502 2.7502 3.4654
S 0.9167 0.9167 3.8164
S 2.7502 2.7502 5.9027
O 0.9167 2.7502 0.0000
O 2.7502 0.9167 0.0000
```

---

# 4
A geometry-optimized YTcB structure, computed with PBE-GGA.

Calculated values
SG: F-43m, No. 216
Energy above the lowest structure with this stoichiometry (meV/atom): 0
M_tot (Bohr magnetons per cell): 0.00

The structure in extended XYZ format:
```
3
Lattice="0.0000 2.9104 2.9104 2.9104 0.0000 2.9104 2.9104 2.9104 0.0000" Properties=species:S:1:pos:R:3 pbc="T T T"
Y 0.0000 0.0000 0.0000
Tc 2.9104 2.9104 2.9104
B 4.3655 4.3655 4.3655
```

---

# 5
A geometry-optimized Nd4Br5N2 structure, computed with PBE-GGA.

Calculated values
SG: C2/m, No. 12
Final energy (eV per atom): -5.4859
M_tot (Bohr magnetons per cell): 0.02

The structure in extended XYZ format:
```
11
Lattice="9.5353 -1.8689 0.0000 9.5353 1.8689 0.0000 -2.1976 0.0000 8.0547" Properties=species:S:1:pos:R:3 pbc="T T T"
Nd -0.4320 0.0000 1.5833
Nd -1.7656 0.0000 6.4714
Nd 4.4785 0.0000 7.2170
Nd 12.3944 0.0000 0.8377
Br 2.2052 0.0000 3.0725
Br 1.4101 0.0000 6.6080
Br 8.4364 0.0000 4.0274
Br 15.4628 0.0000 1.4467
Br 14.6677 0.0000 4.9822
N 6.6716 0.0000 7.8695
N 10.2013 0.0000 0.1853
```

---

# 6
A geometry-optimized SrAgSb structure, computed with PBE-GGA.

Calculated values
SG: P6_3/mmc, No. 194
Final energy (eV per atom): -3.2997

The structure in extended XYZ format:
```
6
Lattice="5.4636 0.0000 0.0000 -2.7318 4.7317 0.0000 0.0000 0.0000 6.5627" Properties=species:S:1:pos:R:3 pbc="T T T"
Sr 0.0000 3.1544 1.6407
Sr 2.7318 1.5772 4.9220
Ag 0.0000 0.0000 0.0000
Ag 0.0000 0.0000 3.2813
Sb 0.0000 3.1544 4.9220
Sb 2.7318 1.5772 1.6407
```